4
Lattice="5.5083 0.0000 0.0000 2.7542 4.7704 0.0000 2.7542 1.5901 4.4976" Properties=species:S:1:pos:R:3 comment="PmDy2Bi | Alexandria | GGA-PBE | optimized geometry" relative_energy_mev_per_atom=296.4 dft_energy_ev_per_cell=-18.47 formation_enthalpy_0k_ev_per_atom=-0.16 space_group="Fm-3m, No. 225" pbc="T T T"
Pm 0.0000 0.0000 0.0000
Bi 5.5083 3.1802 2.2488
Dy 2.7542 1.5901 1.1251
Dy 8.2625 4.7704 3.3724